Record 1
PBE-GGA Mn2NiH, optimized geometry; magnetization = 7.06 Bohr magnetons per cell; D(E_F) = 0.414 states/eV/atom; E above lowest polymorph = 1.83 eV/f.u.
1.0
-0.4075 1.2589 3.7360
0.9389 3.7323 0.9470
-2.8562 2.5900 0.9180
Ni Mn H
1 2 1
Direct
0.5000 0.5000 0.5000
0.2500 0.2500 0.2500
0.7500 0.7500 0.7500
0.0000 0.0000 0.0000



Record 2
PBE-GGA MnNi3H, optimized geometry; magnetization = 9.24 Bohr magnetons per cell; D(E_F) = 0.797 states/eV/atom; E above lowest polymorph = 0.38 eV/f.u.
1.0
4.4222 0.0011 -0.0661
-0.0012 5.1559 0.0021
-1.4432 -0.0021 4.2406
H Mn Ni
2 2 6
Direct
0.7822 0.0913 0.8421
0.7822 0.8742 0.3421
0.5076 0.3494 0.5646
0.5076 0.6161 0.0646
0.0249 0.1087 0.5817
0.0178 0.6054 0.5725
0.5150 0.1176 0.0723
0.5150 0.8479 0.5723
0.0249 0.8568 0.0816
0.0178 0.3601 0.0725



Record 3
PBE-GGA MnNi3H, optimized geometry; magnetization = 19.94 Bohr magnetons per cell; D(E_F) = 0.292 states/eV/atom; E above lowest polymorph = 1.41 eV/f.u.
1.0
0.0000 4.7778 4.7778
4.7778 0.0000 4.7778
4.7778 4.7778 0.0000
Ni Mn H
12 4 4
Direct
0.8115 0.1885 0.1885
0.0615 0.4385 0.4385
0.4385 0.4385 0.0615
0.4385 0.0615 0.0615
0.0615 0.4385 0.0615
0.8115 0.1885 0.8115
0.4385 0.0615 0.4385
0.0615 0.0615 0.4385
0.1885 0.8115 0.1885
0.1885 0.8115 0.8115
0.1885 0.1885 0.8115
0.8115 0.8115 0.1885
0.6250 0.6250 0.6250
0.6250 0.1250 0.6250
0.1250 0.6250 0.6250
0.6250 0.6250 0.1250
0.1250 0.1250 0.1250
0.1250 0.6250 0.1250
0.6250 0.1250 0.1250
0.1250 0.1250 0.6250



Record 4
PBE-GGA MnNi8H6, optimized geometry; magnetization = 4.63 Bohr magnetons per cell; D(E_F) = 0.705 states/eV/atom; total energy = -5.079 eV per atom
1.0
4.2925 0.0000 1.4101
1.9147 3.8419 1.4101
0.1238 0.0766 6.8618
Mn Ni H
1 8 6
Direct
0.0000 0.0000 0.0000
0.7836 0.4439 0.6602
0.8877 0.2164 0.3398
0.5561 0.8877 0.3398
0.3340 0.3340 0.9981
0.6660 0.6660 0.0019
0.4439 0.1123 0.6602
0.1123 0.7836 0.6602
0.2164 0.5561 0.3398
0.9359 0.5892 0.1909
0.7161 0.0641 0.8091
0.4108 0.7161 0.8091
0.5892 0.2839 0.1909
0.2839 0.9359 0.1909
0.0641 0.4108 0.8091



Record 5
PBE-GGA MnNi2H, optimized geometry; magnetization = 4.03 Bohr magnetons per cell; D(E_F) = 0.156 states/eV/atom; E above lowest polymorph = 1.47 eV/f.u.
1.0
-0.6883 -2.7742 2.5994
1.3094 0.3727 3.6157
-2.4771 0.6375 2.8956
Ni Mn H
2 1 1
Direct
0.2500 0.2500 0.2500
0.7500 0.7500 0.7500
0.5000 0.5000 0.5000
0.0000 0.0000 0.0000



Record 6
PBE-GGA MnNi3H, optimized geometry; magnetization = 4.15 Bohr magnetons per cell; D(E_F) = 0.843 states/eV/atom; E above lowest polymorph = 8.73 eV/f.u.
1.0
-1.6273 -3.6650 1.5408
3.3173 -0.3340 2.7091
-2.1914 2.2160 2.9566
Ni Mn H
3 1 1
Direct
0.0000 0.5000 0.0000
0.0000 0.0000 0.5000
0.5000 0.0000 0.0000
0.0000 0.0000 0.0000
0.5000 0.5000 0.5000



Record 7
PBE-GGA MnNi2H, optimized geometry; magnetization = 0.00 Bohr magnetons per cell; D(E_F) = 0.667 states/eV/atom; E above lowest polymorph = 0.33 eV/f.u.
1.0
2.4193 0.0000 0.0000
0.0000 2.4193 0.0000
0.0000 0.0000 6.0079
Ni Mn H
2 1 1
Direct
0.0000 0.0000 0.7977
0.0000 0.0000 0.2023
0.5000 0.5000 0.5000
0.5000 0.5000 0.0000



Record 8
PBE-GGA Mn2NiH, optimized geometry; magnetization = 0.12 Bohr magnetons per cell; D(E_F) = 0.959 states/eV/atom; E above lowest polymorph = 0.00 eV/f.u.
1.0
-1.4957 -1.1010 -1.7490
0.1440 -2.5154 -0.4002
-4.7878 -2.1372 3.5791
Mn Ni H
2 1 1
Direct
0.0574 0.0574 0.8277
0.2764 0.2764 0.1709
0.4992 0.4992 0.5023
0.6670 0.6670 0.9991